The following is a DFT calculation (GGA-PBE) of a relaxed Sr3Sn2Au crystal.

Geometry as POSCAR:
```
Sr3Sn2Au
1.0
13.430 0.000 0.000
0.000 4.566 0.000
0.000 0.000 13.455
Sr Sn Au
12 8 4
Direct
0.051 0.250 0.126 Sr
0.117 0.750 0.550 Sr
0.218 0.250 0.796 Sr
0.282 0.750 0.296 Sr
0.383 0.250 0.050 Sr
0.449 0.750 0.626 Sr
0.551 0.250 0.374 Sr
0.617 0.750 0.950 Sr
0.718 0.250 0.704 Sr
0.782 0.750 0.204 Sr
0.883 0.250 0.450 Sr
0.949 0.750 0.874 Sr
0.018 0.750 0.311 Sn
0.194 0.750 0.992 Sn
0.306 0.250 0.492 Sn
0.482 0.250 0.811 Sn
0.518 0.750 0.189 Sn
0.694 0.750 0.508 Sn
0.806 0.250 0.008 Sn
0.982 0.250 0.689 Sn
0.131 0.250 0.372 Au
0.369 0.750 0.872 Au
0.631 0.250 0.128 Au
0.869 0.750 0.628 Au
```

Results
The mass density is 5.6 g/cm³.

***

The following is a DFT calculation (GGA-PBE) of a relaxed Sr3Sn4Au2 crystal.

Geometry as POSCAR:
```
Sr3Sn4Au2
1.0
5.836 -2.458 0.000
5.836 2.458 0.000
-2.394 0.000 9.181
Sr Sn Au
3 4 2
Direct
0.000 0.000 0.000 Sr
0.367 0.367 0.310 Sr
0.633 0.633 0.690 Sr
0.100 0.100 0.426 Sn
0.296 0.296 0.941 Sn
0.704 0.704 0.059 Sn
0.900 0.900 0.574 Sn
0.332 0.332 0.662 Au
0.668 0.668 0.338 Au
```

Results
The mass density is 7.1 g/cm³.

***

The following is a DFT calculation (GGA-PBE) of a relaxed Sr2Sn3Au2 crystal.

Geometry as POSCAR:
```
Sr2Sn3Au2
1.0
2.429 -10.574 0.000
2.429 10.574 0.000
0.000 0.000 7.580
Sr Sn Au
4 6 4
Direct
0.056 0.944 0.750 Sr
0.163 0.837 0.250 Sr
0.837 0.163 0.750 Sr
0.944 0.056 0.250 Sr
0.225 0.775 0.750 Sn
0.436 0.564 0.563 Sn
0.436 0.564 0.937 Sn
0.564 0.436 0.063 Sn
0.564 0.436 0.437 Sn
0.775 0.225 0.250 Sn
0.311 0.689 0.056 Au
0.311 0.689 0.444 Au
0.689 0.311 0.556 Au
0.689 0.311 0.944 Au
```

Results
The excess energy over the best structure of this formula in the dataset comes out at 0 meV per atom. The mass density is 7.9 g/cm³.

***

The following is a DFT calculation (GGA-PBE) of a relaxed SrSn4Au4 crystal.

Geometry as POSCAR:
```
SrSn4Au4
1.0
9.289 0.000 0.000
0.000 9.289 0.000
0.000 0.000 5.723
Sr Sn Au
2 8 8
Direct
0.250 0.250 0.250 Sr
0.750 0.750 0.750 Sr
0.103 0.631 0.155 Sn
0.131 0.897 0.655 Sn
0.369 0.603 0.655 Sn
0.397 0.869 0.155 Sn
0.603 0.131 0.845 Sn
0.631 0.397 0.345 Sn
0.869 0.103 0.345 Sn
0.897 0.369 0.845 Sn
0.061 0.603 0.664 Au
0.103 0.939 0.164 Au
0.397 0.561 0.164 Au
0.439 0.897 0.664 Au
0.561 0.103 0.336 Au
0.603 0.439 0.836 Au
0.897 0.061 0.836 Au
0.939 0.397 0.336 Au
```

Results
The mass density is 9.1 g/cm³.

***

The following is a DFT calculation (GGA-PBE) of a relaxed Sr7Sn2Au2 crystal.

Geometry as POSCAR:
```
Sr7Sn2Au2
1.0
4.392 -6.153 0.000
4.392 6.153 0.000
0.000 0.000 7.936
Sr Sn Au
7 2 2
Direct
0.000 0.000 0.000 Sr
0.000 0.500 0.265 Sr
0.000 0.500 0.735 Sr
0.500 0.000 0.265 Sr
0.500 0.000 0.735 Sr
0.500 0.500 0.249 Sr
0.500 0.500 0.751 Sr
0.170 0.170 0.500 Sn
0.830 0.830 0.500 Sn
0.294 0.706 0.000 Au
0.706 0.294 0.000 Au
```

Results
The mass density is 4.8 g/cm³.

***

The following is a DFT calculation (GGA-PBE) of a relaxed Sr6Sn2Au crystal.

Geometry as POSCAR:
```
Sr6Sn2Au
1.0
7.508 0.000 0.000
0.000 8.939 0.000
-7.198 0.000 10.920
Sr Sn Au
12 4 2
Direct
0.100 0.178 0.438 Sr
0.100 0.322 0.938 Sr
0.284 0.679 0.439 Sr
0.284 0.821 0.939 Sr
0.389 0.035 0.264 Sr
0.389 0.465 0.764 Sr
0.611 0.535 0.236 Sr
0.611 0.965 0.736 Sr
0.716 0.179 0.061 Sr
0.716 0.321 0.561 Sr
0.900 0.678 0.062 Sr
0.900 0.822 0.562 Sr
0.202 0.114 0.747 Sn
0.202 0.386 0.247 Sn
0.798 0.614 0.753 Sn
0.798 0.886 0.253 Sn
0.000 0.000 0.000 Au
0.000 0.500 0.500 Au
```

Results
The mass density is 4.4 g/cm³.

***

Energy relative to the elements
In order: -674 -637 -574 -319 -456 -520
Unit: meV/atom